No. 1
A plane-wave DFT calculation with PBE was carried out for Ac8Ge3RhSe4 after structural relaxation.

```
Ac8Ge3RhSe4
1.0
9.045 0.000 0.000
0.000 9.110 0.039
-4.523 -4.518 6.400
Ac Ge Rh Se
8 3 1 4
direct
0.241 0.732 0.991
0.241 0.732 0.482
0.253 0.257 0.505
0.750 0.732 0.991
0.250 0.268 0.009
0.747 0.743 0.495
0.759 0.268 0.518
0.759 0.268 0.009
0.500 0.500 0.000
0.500 0.500 0.500
0.000 0.500 0.500
0.000 0.500 0.000
0.500 0.000 0.000
0.500 0.000 0.500
0.000 0.000 0.000
0.000 0.000 0.500
```

Computed properties:
calculated density: 7.700 g/cm3
space group: No. 166
energy relative to the elements, uncorrected: -1.32 eV per atom

No. 2
A plane-wave DFT calculation with PBE was carried out for Pm2DyEr3 after structural relaxation.

```
Pm2DyEr3
1.0
5.545 0.000 1.142
1.938 4.314 4.620
-0.262 -0.620 15.305
Pm Dy Er
4 2 6
direct
0.875 0.374 0.876
0.125 0.626 0.124
0.625 0.125 0.625
0.375 0.875 0.375
0.334 0.665 0.667
0.666 0.335 0.333
0.167 0.832 0.833
0.833 0.168 0.167
0.583 0.916 0.917
0.417 0.084 0.083
0.917 0.584 0.583
0.083 0.416 0.417
```

Computed properties:
DFT formation energy: 0.0745 eV per atom
calculated density: 8.299 g/cm3
space group: No. 12
energy relative to the lowest polymorph listed for this composition: 0.0 meV per atom

No. 3
A plane-wave DFT calculation with PBE was carried out for Ba2DyReO6 after structural relaxation.

```
Ba2DyReO6
1.0
5.989 0.000 0.000
2.995 5.187 0.000
2.995 1.729 4.890
Ba Dy Re O
2 1 1 6
direct
0.750 0.750 0.750
0.250 0.250 0.250
0.500 0.500 0.500
0.000 0.000 0.000
0.765 0.765 0.235
0.235 0.235 0.765
0.235 0.765 0.235
0.765 0.235 0.765
0.765 0.235 0.235
0.235 0.765 0.765
```

Computed properties:
calculated density: 7.864 g/cm3
space group: No. 225
energy relative to the elements, uncorrected: -2.62 eV per atom

No. 4
A plane-wave DFT calculation with PBE was carried out for LaSbW2 after structural relaxation.

```
LaSbW2
1.0
8.105 0.000 0.000
0.000 8.105 0.000
4.053 4.053 2.930
Sb W La
2 4 2
direct
0.500 0.500 0.000
0.250 0.750 0.500
0.571 0.125 0.250
0.179 0.625 0.250
0.375 0.429 0.750
0.875 0.821 0.750
0.000 0.000 0.000
0.750 0.250 0.500
```

Computed properties:
calculated density: 10.841 g/cm3
space group: No. 122
energy relative to the elements, uncorrected: 1.15 eV per atom

Number 1: volume 529 Å³ per cell. Number 2: volume 382 Å³ per cell. Number 3: volume 152 Å³ per cell. Number 4: volume 192 Å³ per cell.